[1]
The following is a PBE calculation of NaSi2Pb2 after structural relaxation, from Alexandria via LeMat-Bulk.

```
5
Lattice="-1.924 -0.312 2.895 0.669 -3.424 0.075 7.700 -0.116 7.208" Properties=species:S:1:pos:R:3 pbc="T T T"
Pb 1.369 -1.448 2.857
Pb 5.076 -2.404 7.320
Na 0.000 0.000 0.000
Si 2.574 -1.148 5.794
Si 3.871 -2.704 4.384
```

E_form (uncorrected): 183 meV/atom
Total magnetic moment: 0.0 μB per formula unit
Energy above the lowest structure with this stoichiometry: 0 meV/atom
Space group: I4/mmm, No. 139



[2]
The following is a PBE calculation of NaTaSi2Pb after structural relaxation, from Alexandria via LeMat-Bulk.

```
5
Lattice="5.402 0.000 0.000 0.000 5.411 0.000 0.000 0.000 5.402" Properties=species:S:1:pos:R:3 pbc="T T T"
Pb 0.000 0.000 0.000
Na 2.701 2.706 2.701
Si 0.000 0.000 2.701
Si 2.701 0.000 0.000
Ta 0.000 2.706 0.000
```

E_form (uncorrected): 1704 meV/atom
Total magnetic moment: 2.1 μB per formula unit
Space group: P4/mmm, No. 123



[3]
The following is a PBE calculation of NaSi2PbW after structural relaxation, from Alexandria via LeMat-Bulk.

```
5
Lattice="4.707 0.000 0.000 0.000 5.132 0.000 0.000 0.000 4.707" Properties=species:S:1:pos:R:3 pbc="T T T"
Pb 0.000 2.566 0.000
Na 0.000 0.000 0.000
Si 0.000 0.000 2.353
Si 2.353 0.000 0.000
W 2.353 2.566 2.353
```

E_form (uncorrected): 2163 meV/atom
Total magnetic moment: 0.0 μB per formula unit
Space group: P4/mmm, No. 123